First-principles (PBE) data for an optimized crystal structure of Tb3Ge3Rh, as listed in Alexandria via LeMat-Bulk.

a = 10.6765 Å, b = 4.2962 Å, c = 14.0114 Å
α = 90.00°, β = 109.88°, γ = 90.00°
Space group C2/m (No. 12)
Unique sites:
1 Tb 0.0289 0.0000 0.3793 x4
2 Tb 0.1016 0.0000 0.9219 x4
3 Tb 0.2427 0.0000 0.2322 x4
4 Ge 0.0345 0.5000 0.2330 x4
5 Ge 0.1197 0.5000 0.0747 x4
6 Ge 0.1356 0.5000 0.5408 x4
7 Rh 0.2470 0.5000 0.3951 x4

Values from the calculation:
* formation energy from the elements: -0.921 eV per atom
* D(E_F): 0.704 states/eV per atom